Compound: K2Er2O5
Source: OQMD
Functional: PBE
Structure: relaxed

Energy relative to the lowest polymorph listed for this composition (meV/atom): 0

Cell and atoms, written as CIF:
```
data_K2Er2O5
_cell_length_a 4.222
_cell_length_b 4.222
_cell_length_c 8.984
_cell_angle_alpha 90.00
_cell_angle_beta 90.00
_cell_angle_gamma 90.00
_space_group_name_H-M_alt 'P 4/m m m'
_space_group_IT_number 123
_space_group_name_Hall '-P 4 2'
loop_
_atom_site_label
_atom_site_type_symbol
_atom_site_fract_x
_atom_site_fract_y
_atom_site_fract_z
_atom_site_occupancy
K1 K 0.000 0.000 0.000 1
K2 K 0.000 0.000 0.500 1
Er1 Er 0.500 0.500 0.233 1
O1 O 0.000 0.500 0.294 1
O2 O 0.500 0.500 0.000 1
```

=====

Compound: K2ErO4
Source: OQMD
Functional: PBE
Structure: relaxed

Total DFT energy (no corrections) (eV per atom): -5.13

Cell and atoms, written as CIF:
```
data_K2ErO4
_cell_length_a 7.313
_cell_length_b 7.313
_cell_length_c 10.332
_cell_angle_alpha 90.00
_cell_angle_beta 90.00
_cell_angle_gamma 90.00
_space_group_name_H-M_alt 'I 41/a m d'
_space_group_IT_number 141
loop_
_space_group_symop_operation_xyz
'x,y,z'
'-x,-y,-z'
'-y+1/4,x+3/4,z+1/4'
'y+1/4,-x+3/4,-z+1/4'
'-x+1/2,-y,z+1/2'
'x+1/2,y,-z+1/2'
'y+1/4,-x+1/4,z+3/4'
'-y+1/4,x+1/4,-z+3/4'
'x,-y,-z'
'-x,y,z'
'-y+1/4,-x+1/4,-z+3/4'
'y+1/4,x+1/4,z+3/4'
'-x+1/2,y,-z+1/2'
'x+1/2,-y,z+1/2'
'y+1/4,x+3/4,-z+1/4'
'-y+1/4,-x+3/4,z+1/4'
'x+1/2,y+1/2,z+1/2'
'-x+1/2,-y+1/2,-z+1/2'
'-y+3/4,x+1/4,z+3/4'
'y+3/4,-x+1/4,-z+3/4'
'-x,-y+1/2,z'
'x,y+1/2,-z'
'y+3/4,-x+3/4,z+1/4'
'-y+3/4,x+3/4,-z+1/4'
'x+1/2,-y+1/2,-z+1/2'
'-x+1/2,y+1/2,z+1/2'
'-y+3/4,-x+3/4,-z+1/4'
'y+3/4,x+3/4,z+1/4'
'-x,y+1/2,-z'
'x,-y+1/2,z'
'y+3/4,x+1/4,-z+3/4'
'-y+3/4,-x+1/4,z+3/4'
loop_
_atom_site_label
_atom_site_type_symbol
_atom_site_fract_x
_atom_site_fract_y
_atom_site_fract_z
_atom_site_occupancy
K1 K 0.000 0.000 0.000 1
Er1 Er 0.000 0.250 0.375 1
O1 O 0.000 0.015 0.257 1
```

=====

Compound: K2Er2O5
Source: OQMD
Functional: PBE
Structure: relaxed

Energy relative to the lowest polymorph listed for this composition (meV/atom): 1307

Cell and atoms, written as CIF:
```
data_K2Er2O5
_cell_length_a 4.338
_cell_length_b 4.338
_cell_length_c 7.100
_cell_angle_alpha 90.00
_cell_angle_beta 90.00
_cell_angle_gamma 90.00
_space_group_name_H-M_alt 'P 4/m m m'
_space_group_IT_number 123
_space_group_name_Hall '-P 4 2'
loop_
_atom_site_label
_atom_site_type_symbol
_atom_site_fract_x
_atom_site_fract_y
_atom_site_fract_z
_atom_site_occupancy
K1 K 0.000 0.000 0.185 1
Er1 Er 0.500 0.500 0.000 1
Er2 Er 0.500 0.500 0.500 1
O1 O 0.000 0.000 0.500 1
O2 O 0.000 0.500 0.203 1
```

=====

Compound: KErP2O7
Source: OQMD
Functional: PBE
Structure: relaxed

Total DFT energy (no corrections) (eV per atom): -7.35

Cell and atoms, written as CIF:
```
data_KErP2O7
_cell_length_a 7.468
_cell_length_b 10.786
_cell_length_c 8.491
_cell_angle_alpha 90.00
_cell_angle_beta 106.71
_cell_angle_gamma 90.00
_space_group_name_H-M_alt 'P 1 21/c 1'
_space_group_IT_number 14
loop_
_space_group_symop_operation_xyz
'x,y,z'
'-x,-y,-z'
'-x,y+1/2,-z+1/2'
'x,-y+1/2,z+1/2'
loop_
_atom_site_label
_atom_site_type_symbol
_atom_site_fract_x
_atom_site_fract_y
_atom_site_fract_z
_atom_site_occupancy
K1 K 0.185 0.182 0.066 1
Er1 Er 0.228 0.593 0.248 1
P1 P 0.132 0.601 0.805 1
P2 P 0.456 0.648 0.690 1
O1 O 0.020 0.004 0.199 1
O2 O 0.069 0.728 0.729 1
O3 O 0.127 0.594 0.981 1
O4 O 0.346 0.095 0.754 1
O5 O 0.348 0.580 0.809 1
O6 O 0.349 0.612 0.515 1
O7 O 0.461 0.714 0.226 1
```